(1)
Density functional theory data (GGA-PBE) for an optimized crystal structure of Mg3TlCd.

abc: 5.253 5.391 8.582
angles: 90.00 107.31 90.00
Element x y z (fractional)
Mg  0.051  0.000  0.103
Mg  0.249  0.952  0.500
Mg  0.445  0.920  0.893
Mg  0.555  0.420  0.107
Mg  0.751  0.452  0.500
Mg  0.949  0.500  0.897
Tl  0.353  0.430  0.704
Tl  0.647  0.930  0.296
Cd  0.143  0.482  0.287
Cd  0.857  0.982  0.713

Properties
The value obtained for the density of states at the Fermi level is 1.3 states/eV/f.u. The value obtained for the total magnetization is 0.000 μB per atom. The energy of formation is -0.04 eV/atom.

(2)
Density functional theory data (GGA-PBE) for an optimized crystal structure of LaPrAl2Pd5.

abc: 4.386 4.386 9.170
angles: 90.00 90.00 90.00
Element x y z (fractional)
La  0.000  0.000  0.000
Pr  0.000  0.000  0.500
Al  0.500  0.500  0.352
Al  0.500  0.500  0.648
Pd  0.000  0.500  0.226
Pd  0.000  0.500  0.774
Pd  0.500  0.000  0.226
Pd  0.500  0.000  0.774
Pd  0.500  0.500  0.000

Properties
The value obtained for the density of states at the Fermi level is 6.6 states/eV/f.u. The value obtained for the total magnetization is 0.000 μB per atom. The energy of formation is -0.80 eV/atom.

(3)
Density functional theory data (GGA-PBE) for an optimized crystal structure of RbGeH3.

abc: 4.126 4.126 4.126
angles: 90.00 90.00 90.00
Element x y z (fractional)
Rb  0.000  0.000  0.000
Ge  0.500  0.500  0.500
H  0.000  0.500  0.500
H  0.500  0.000  0.500
H  0.500  0.500  0.000

Properties
Its energy is -15.0 eV for the cell shown. The value obtained for the density of states at the Fermi level is 0.2 states/eV/f.u. The value obtained for the total magnetization is 0.000 μB per atom.

(4)
Density functional theory data (GGA-PBE) for an optimized crystal structure of MgHgO2F.

abc: 4.031 4.031 3.844
angles: 90.00 90.00 90.00
Element x y z (fractional)
Mg  0.000  0.000  0.000
Hg  0.500  0.500  0.500
O  0.000  0.500  0.000
O  0.500  0.000  0.000
F  0.000  0.000  0.500

Properties
Its energy is -19.8 eV for the cell shown. The value obtained for the density of states at the Fermi level is 1.9 states/eV/f.u. The value obtained for the total magnetization is 0.203 μB per atom.

(5)
Density functional theory data (GGA-PBE) for an optimized crystal structure of Na2Hf2Sb2As.

abc: 8.772 8.772 8.772
angles: 146.71 146.71 47.80
Element x y z (fractional)
Na  0.185  0.185  0.000
Na  0.815  0.815  0.000
Hf  0.000  0.500  0.500
Hf  0.500  0.000  0.500
Sb  0.382  0.382  0.000
Sb  0.618  0.618  0.000
As  0.000  0.000  0.000

Properties
Its energy is -38.4 eV for the cell shown. The value obtained for the density of states at the Fermi level is 4.6 states/eV/f.u. The value obtained for the total magnetization is 0.062 μB per atom.

(6)
Density functional theory data (GGA-PBE) for an optimized crystal structure of Li2CeBi.

abc: 4.575 4.575 5.020
angles: 90.00 90.00 90.00
Element x y z (fractional)
Li  0.000  0.500  0.000
Li  0.500  0.000  0.000
Ce  0.000  0.000  0.500
Bi  0.500  0.500  0.500

Properties
The value obtained for the density of states at the Fermi level is 8.1 states/eV/f.u. The value obtained for the total magnetization is 0.282 μB per atom. The energy of formation is -0.31 eV/atom.

(7)
Density functional theory data (GGA-PBE) for an optimized crystal structure of HoPaRu.

abc: 4.349 4.349 4.759
angles: 90.00 90.00 120.00
Element x y z (fractional)
Ho  0.000  0.000  0.000
Pa  0.667  0.333  0.500
Ru  0.333  0.667  0.500

Properties
The value obtained for the density of states at the Fermi level is 5.5 states/eV/f.u. The value obtained for the total magnetization is 0.000 μB per atom. The energy of formation is -0.02 eV/atom.

(8)
Density functional theory data (GGA-PBE) for an optimized crystal structure of Ho8Te3Pb2.

abc: 8.407 8.407 6.821
angles: 96.04 96.04 59.48
Element x y z (fractional)
Ho  0.090  0.675  0.125
Ho  0.092  0.092  0.372
Ho  0.325  0.910  0.875
Ho  0.335  0.335  0.648
Ho  0.665  0.665  0.352
Ho  0.675  0.090  0.125
Ho  0.908  0.908  0.628
Ho  0.910  0.325  0.875
Te  0.297  0.703  0.500
Te  0.500  0.500  0.000
Te  0.703  0.297  0.500
Pb  0.257  0.257  0.160
Pb  0.743  0.743  0.840

Properties
Its energy is -60.3 eV for the cell shown. The value obtained for the density of states at the Fermi level is 10.3 states/eV/f.u. The value obtained for the total magnetization is 0.000 μB per atom.

(9)
Density functional theory data (GGA-PBE) for an optimized crystal structure of RbPHRuC.

abc: 4.299 5.675 4.384
angles: 90.00 112.01 90.00
Element x y z (fractional)
Rb  0.000  0.000  0.000
P  0.460  0.500  0.853
H  0.124  0.500  0.256
Ru  0.596  0.500  0.398
C  0.084  0.500  0.506

Properties
Its energy is -27.3 eV for the cell shown. The value obtained for the density of states at the Fermi level is 3.0 states/eV/f.u. The value obtained for the total magnetization is 0.000 μB per atom.

(10)
Density functional theory data (GGA-PBE) for an optimized crystal structure of Dy4Er3Sc.

abc: 8.815 8.815 8.815
angles: 120.50 120.50 89.14
Element x y z (fractional)
Dy  0.012  0.512  0.199
Dy  0.187  0.988  0.500
Dy  0.313  0.813  0.801
Dy  0.488  0.687  0.500
Dy  0.512  0.313  0.500
Dy  0.687  0.187  0.199
Dy  0.813  0.012  0.500
Dy  0.988  0.488  0.801
Er  0.148  0.352  0.500
Er  0.250  0.250  0.000
Er  0.352  0.852  0.204
Er  0.648  0.148  0.796
Er  0.750  0.750  0.000
Er  0.852  0.648  0.500
Sc  0.000  0.000  0.000
Sc  0.500  0.500  0.000

Properties
The value obtained for the density of states at the Fermi level is 10.5 states/eV/f.u. The value obtained for the total magnetization is 0.000 μB per atom. The energy of formation is 0.10 eV/atom.

(11)
Density functional theory data (GGA-PBE) for an optimized crystal structure of RbAlTc2S.

abc: 4.516 4.516 5.511
angles: 90.00 90.00 90.00
Element x y z (fractional)
Rb  0.000  0.000  0.000
Al  0.500  0.500  0.000
Tc  0.000  0.500  0.500
Tc  0.500  0.000  0.500
S  0.500  0.500  0.500

Properties
Its energy is -25.0 eV for the cell shown. The value obtained for the density of states at the Fermi level is 4.4 states/eV/f.u. The value obtained for the total magnetization is 0.445 μB per atom.

(12)
Density functional theory data (GGA-PBE) for an optimized crystal structure of Pm7Cd2Rh2.

abc: 9.639 9.639 9.639
angles: 157.10 72.02 112.80
Element x y z (fractional)
Pm  0.000  0.000  0.000
Pm  0.065  0.708  0.357
Pm  0.338  0.507  0.831
Pm  0.351  0.708  0.643
Pm  0.648  0.304  0.344
Pm  0.677  0.507  0.169
Pm  0.960  0.304  0.656
Cd  0.455  0.955  0.500
Cd  0.694  0.694  0.000
Rh  0.209  0.016  0.193
Rh  0.823  0.016  0.807

Properties
The value obtained for the density of states at the Fermi level is 13.5 states/eV/f.u. The value obtained for the total magnetization is 0.000 μB per atom. The energy of formation is -0.34 eV/atom.

Repeat the twelfth record exactly.
Density functional theory data (GGA-PBE) for an optimized crystal structure of Pm7Cd2Rh2.

abc: 9.639 9.639 9.639
angles: 157.10 72.02 112.80
Element x y z (fractional)
Pm  0.000  0.000  0.000
Pm  0.065  0.708  0.357
Pm  0.338  0.507  0.831
Pm  0.351  0.708  0.643
Pm  0.648  0.304  0.344
Pm  0.677  0.507  0.169
Pm  0.960  0.304  0.656
Cd  0.455  0.955  0.500
Cd  0.694  0.694  0.000
Rh  0.209  0.016  0.193
Rh  0.823  0.016  0.807

Properties
The value obtained for the density of states at the Fermi level is 13.5 states/eV/f.u. The value obtained for the total magnetization is 0.000 μB per atom. The energy of formation is -0.34 eV/atom.